Entry 1:
A relaxed structure of AlCu4Te, computed with PBE.

Magnetic moment, μB/cell: 0.00
SG: F-43m
Theoretical density, g/cm³: 7.506
ΔE_f (raw), meV/atom: 96.4

abc: 5.038 5.038 5.038
angles: 60.00 60.00 60.00
Fractional coordinates of all 6 atoms:
Al: 0.000 0.000 0.000
Cu: 0.122 0.626 0.626
Cu: 0.626 0.122 0.626
Cu: 0.626 0.626 0.122
Cu: 0.626 0.626 0.626
Te: 0.250 0.250 0.250

Entry 2:
A relaxed structure of ZrMn2Te, computed with PBE.

Magnetic moment, μB/cell: 5.78
SG: P4mm
Theoretical density, g/cm³: 7.421
ΔE_f (raw), meV/atom: 40.2

abc: 3.506 3.506 5.984
angles: 90.00 90.00 90.00
Fractional coordinates of all 4 atoms:
Zr: 0.000 0.000 0.000
Mn: 0.000 0.000 0.457
Mn: 0.500 0.500 0.241
Te: 0.500 0.500 0.705

Entry 3:
A relaxed structure of RbTlS2, computed with PBE.

Magnetic moment, μB/cell: 0.00
SG: P2_1/c
Theoretical density, g/cm³: 4.094
ΔE_f (raw), meV/atom: -541.5
Energy above the most stable polymorph in this dataset, meV/atom: 95

abc: 7.283 4.890 17.607
angles: 90.00 113.68 90.00
Fractional coordinates of all 16 atoms:
Rb: 0.247 0.248 0.494
Rb: 0.247 0.252 0.994
Rb: 0.753 0.748 0.006
Rb: 0.753 0.752 0.506
Tl: 0.288 0.748 0.218
Tl: 0.288 0.752 0.718
Tl: 0.712 0.248 0.282
Tl: 0.712 0.252 0.782
S: 0.028 0.248 0.133
S: 0.028 0.252 0.633
S: 0.268 0.748 0.375
S: 0.268 0.752 0.875
S: 0.732 0.248 0.125
S: 0.732 0.252 0.625
S: 0.972 0.748 0.367
S: 0.972 0.752 0.867

Entry 4:
A relaxed structure of PIrAu2, computed with PBE.

Magnetic moment, μB/cell: 0.00
SG: P1
Theoretical density, g/cm³: 14.113
Formation energy, eV/atom: -0.095

abc: 3.075 3.357 8.111
angles: 101.82 90.14 116.97
Fractional coordinates of all 4 atoms:
P: 0.000 0.000 0.000
Ir: 0.733 0.468 0.156
Au: 0.498 0.001 0.430
Au: 0.900 0.799 0.702